Here is a relaxed LaMg2Br6 crystal from Alexandria. Energies are from PBE.

Output
Raw formation energy (eV/atom): -1.50
Total DFT energy (no corrections) (eV/atom): -3.51
Magnetization (μB/atom): 0.025

abc: 14.435 4.006 11.839
angles: 90.00 96.79 90.00
Space group C2/m (No. 12)
Asymmetric unit:
La 0.000 0.000 0.000 (multiplicity 2)
Mg 0.216 0.500 0.726 (multiplicity 4)
Br 0.110 0.000 0.232 (multiplicity 4)
Br 0.138 0.500 0.911 (multiplicity 4)
Br 0.155 0.000 0.611 (multiplicity 4)

---

Here is a relaxed GdThScZn crystal from Alexandria. Energies are from PBE.

Output
ΔH_f (0 K) (eV per atom): 0.020
Total DFT energy (no corrections) (eV/atom): -7.26
Magnetization (μB/atom): 2.086

abc: 7.469 7.469 7.469
angles: 90.00 90.00 90.00
Space group F-43m (No. 216)
Asymmetric unit:
Gd 0.000 0.000 0.000 (multiplicity 4)
Th 0.000 0.000 0.500 (multiplicity 4)
Sc 0.250 0.250 0.750 (multiplicity 4)
Zn 0.250 0.250 0.250 (multiplicity 4)

---

Here is a relaxed Rb4O3F4 crystal from Alexandria. Energies are from PBE.

Output
Raw formation energy (eV/atom): -1.76
Total DFT energy (no corrections) (eV/atom): -4.14
Magnetization (μB/atom): 0.023

abc: 9.474 4.782 11.062
angles: 90.00 90.09 90.00
Space group Cm (No. 8)
Asymmetric unit:
Rb 0.000 0.000 0.000 (multiplicity 2)
Rb 0.001 0.000 0.496 (multiplicity 2)
Rb 0.317 0.000 0.247 (multiplicity 2)
Rb 0.324 0.000 0.749 (multiplicity 2)
O 0.117 0.500 0.746 (multiplicity 2)
O 0.187 0.500 0.847 (multiplicity 2)
O 0.189 0.500 0.646 (multiplicity 2)
F 0.015 0.000 0.747 (multiplicity 2)
F 0.320 0.000 0.000 (multiplicity 2)
F 0.321 0.000 0.496 (multiplicity 2)
F 0.494 0.500 0.248 (multiplicity 2)

---

Here is a relaxed CeSm2Cu6 crystal from Alexandria. Energies are from PBE.

Output
ΔH_f (0 K) (eV per atom): -0.199
Total DFT energy (no corrections) (eV/atom): -4.64
Magnetization (μB/atom): 0.087

abc: 7.4192 7.4192 3.6429
angles: 90.00 90.00 120.00
Space group P6/mmm (No. 191)
Asymmetric unit:
Ce 0.0000 0.0000 0.0000 (multiplicity 1)
Sm 0.3333 0.6667 0.0000 (multiplicity 2)
Cu 0.0000 0.3332 0.5000 (multiplicity 6)

---

Here is a relaxed BP2I crystal from Alexandria. Energies are from PBE.

Output
Relative energy among the computed polymorphs (meV per atom): 1212
Raw formation energy (eV/atom): 1.76
Total DFT energy (no corrections) (eV/atom): -3.00
Magnetization (μB/atom): 0.000

abc: 6.530 6.530 6.530
angles: 90.00 90.00 90.00
Space group Fm-3m (No. 225)
Asymmetric unit:
B 0.000 0.000 0.000 (multiplicity 4)
P 0.250 0.250 0.250 (multiplicity 8)
I 0.000 0.000 0.500 (multiplicity 4)

---

Here is a relaxed Sm11Dy9Y4 crystal from Alexandria. Energies are from PBE.

Output
ΔH_f (0 K) (eV per atom): 0.062
Total DFT energy (no corrections) (eV/atom): -4.90
Magnetization (μB/atom): 0.000

abc: 16.911 25.692 3.649
angles: 90.00 90.00 90.00
Space group Cmmm (No. 65)
Asymmetric unit:
Sm 0.000 0.000 0.000 (multiplicity 2)
Sm 0.000 0.161 0.000 (multiplicity 4)
Sm 0.000 0.368 0.000 (multiplicity 4)
Sm 0.210 0.500 0.000 (multiplicity 4)
Sm 0.223 0.181 0.000 (multiplicity 8)
Dy 0.000 0.500 0.500 (multiplicity 2)
Dy 0.102 0.268 0.500 (multiplicity 8)
Dy 0.140 0.073 0.500 (multiplicity 8)
Y 0.157 0.399 0.500 (multiplicity 8)

---

Here is a relaxed Tb8Co2Bi crystal from Alexandria. Energies are from PBE.

Output
ΔH_f (0 K) (eV per atom): -0.169
Total DFT energy (no corrections) (eV/atom): -5.18
Magnetization (μB/atom): 0.000

abc: 8.557 13.228 5.470
angles: 90.00 103.06 90.00
Space group C2/m (No. 12)
Asymmetric unit:
Tb 0.000 0.249 0.000 (multiplicity 4)
Tb 0.102 0.000 0.795 (multiplicity 4)
Tb 0.204 0.369 0.575 (multiplicity 8)
Co 0.000 0.198 0.500 (multiplicity 4)
Bi 0.000 0.500 0.000 (multiplicity 2)

---

Here is a relaxed ZnTc3N crystal from Alexandria. Energies are from PBE.

Output
Relative energy among the computed polymorphs (meV per atom): 80
Raw formation energy (eV/atom): 0.10
Total DFT energy (no corrections) (eV/atom): -8.04
Magnetization (μB/atom): 0.000

abc: 4.914 4.970 6.189
angles: 105.44 104.12 108.26
Space group P-1 (No. 2)
Asymmetric unit:
Zn 0.210 0.470 0.389 (multiplicity 2)
Tc 0.066 0.802 0.132 (multiplicity 2)
Tc 0.314 0.075 0.616 (multiplicity 2)
Tc 0.425 0.658 0.863 (multiplicity 2)
N 0.216 0.965 0.884 (multiplicity 2)

---

Here is a relaxed Dy12Zn3N5 crystal from Alexandria. Energies are from PBE.

Output
Raw formation energy (eV/atom): -0.78
Total DFT energy (no corrections) (eV/atom): -5.82
Magnetization (μB/atom): 0.000

abc: 15.348 15.348 15.348
angles: 90.00 90.00 90.00
Space group Ia-3d (No. 230)
Asymmetric unit:
Dy 0.035 0.052 0.649 (multiplicity 96)
Zn 0.000 0.250 0.125 (multiplicity 24)
N 0.000 0.000 0.000 (multiplicity 16)
N 0.000 0.250 0.375 (multiplicity 24)

---

Here is a relaxed AgHg3Cl2F6 crystal from Alexandria. Energies are from PBE.

Output
Raw formation energy (eV/atom): -1.09
Total DFT energy (no corrections) (eV/atom): -2.65
Magnetization (μB/atom): 0.087

abc: 12.813 7.064 5.194
angles: 90.00 97.21 90.00
Space group C2/m (No. 12)
Asymmetric unit:
Ag 0.000 0.000 0.000 (multiplicity 2)
Hg 0.000 0.500 0.500 (multiplicity 2)
Hg 0.250 0.250 0.000 (multiplicity 4)
Cl 0.200 0.500 0.310 (multiplicity 4)
F 0.072 0.265 0.775 (multiplicity 8)
F 0.152 0.000 0.192 (multiplicity 4)

---

Here is a relaxed PaGaAg2O8 crystal from Alexandria. Energies are from PBE.

Output
Raw formation energy (eV/atom): -0.98
Total DFT energy (no corrections) (eV/atom): -5.80
Magnetization (μB/atom): 0.000

abc: 7.002 7.002 6.819
angles: 90.00 90.00 90.00
Space group I-4m2 (No. 119)
Asymmetric unit:
Pa 0.000 0.000 0.000 (multiplicity 2)
Ga 0.000 0.500 0.750 (multiplicity 2)
Ag 0.000 0.000 0.500 (multiplicity 2)
Ag 0.000 0.500 0.250 (multiplicity 2)
O 0.000 0.194 0.731 (multiplicity 8)
O 0.000 0.322 0.999 (multiplicity 8)

---

Here is a relaxed Ta2OsAu crystal from Alexandria. Energies are from PBE.

Output
Relative energy among the computed polymorphs (meV per atom): 22
ΔH_f (0 K) (eV per atom): -0.121
Total DFT energy (no corrections) (eV/atom): -9.67
Magnetization (μB/atom): 0.000

abc: 4.092 4.092 7.984
angles: 90.00 90.00 90.00
Space group I4/mmm (No. 139)
Asymmetric unit:
Ta 0.000 0.500 0.250 (multiplicity 4)
Os 0.000 0.000 0.000 (multiplicity 2)
Au 0.000 0.000 0.500 (multiplicity 2)

---

Here is a relaxed Pm2HoTm5 crystal from Alexandria. Energies are from PBE.

Output
Relative energy among the computed polymorphs (meV per atom): 147
ΔH_f (0 K) (eV per atom): 0.171
Total DFT energy (no corrections) (eV/atom): -4.38
Magnetization (μB/atom): 0.000

abc: 16.076 9.775 6.492
angles: 90.00 99.24 90.00
Space group C2/c (No. 15)
Asymmetric unit:
Pm 0.079 0.244 0.119 (multiplicity 8)
Ho 0.250 0.250 0.000 (multiplicity 4)
Tm 0.000 0.442 0.750 (multiplicity 4)
Tm 0.101 0.091 0.648 (multiplicity 8)
Tm 0.198 0.413 0.526 (multiplicity 8)

---

Here is a relaxed LiY5Rh6 crystal from Alexandria. Energies are from PBE.

Output
ΔH_f (0 K) (eV per atom): -0.734
Total DFT energy (no corrections) (eV/atom): -7.26
Magnetization (μB/atom): 0.000

abc: 8.334 14.233 4.740
angles: 90.00 124.55 90.00
Space group C2/m (No. 12)
Asymmetric unit:
Li 0.000 0.000 0.000 (multiplicity 2)
Y 0.000 0.152 0.500 (multiplicity 4)
Y 0.000 0.328 0.000 (multiplicity 4)
Y 0.000 0.500 0.500 (multiplicity 2)
Rh 0.238 0.500 0.237 (multiplicity 4)
Rh 0.248 0.334 0.748 (multiplicity 8)

---

Here is a relaxed CaRhS3 crystal from Alexandria. Energies are from PBE.

Output
Relative energy among the computed polymorphs (meV per atom): 1280
Raw formation energy (eV/atom): 0.77
Total DFT energy (no corrections) (eV/atom): -3.57
Magnetization (μB/atom): 0.640

abc: 5.120 5.120 5.120
angles: 90.00 90.00 90.00
Space group Pm-3m (No. 221)
Asymmetric unit:
Ca 0.000 0.000 0.000 (multiplicity 1)
Rh 0.500 0.500 0.500 (multiplicity 1)
S 0.000 0.000 0.500 (multiplicity 3)

---

Here is a relaxed KFe2HRh crystal from Alexandria. Energies are from PBE.

Output
Total DFT energy (no corrections) (eV/atom): -4.83
Magnetization (μB/atom): 1.407

abc: 4.979 4.979 3.574
angles: 90.00 90.00 90.00
Space group P4/mmm (No. 123)
Asymmetric unit:
K 0.000 0.000 0.000 (multiplicity 1)
Fe 0.000 0.500 0.500 (multiplicity 2)
H 0.500 0.500 0.000 (multiplicity 1)
Rh 0.500 0.500 0.500 (multiplicity 1)

---

Here is a relaxed ErThTcPt crystal from Alexandria. Energies are from PBE.

Output
ΔH_f (0 K) (eV per atom): -0.586
Total DFT energy (no corrections) (eV/atom): -7.68
Magnetization (μB/atom): 0.000

abc: 7.032 7.032 7.032
angles: 90.00 90.00 90.00
Space group F-43m (No. 216)
Asymmetric unit:
Er 0.000 0.000 0.000 (multiplicity 4)
Th 0.000 0.000 0.500 (multiplicity 4)
Tc 0.250 0.250 0.250 (multiplicity 4)
Pt 0.250 0.250 0.750 (multiplicity 4)

---

Here is a relaxed BeCrGeRh crystal from Alexandria. Energies are from PBE.

Output
ΔH_f (0 K) (eV per atom): -0.238
Total DFT energy (no corrections) (eV/atom): -6.57
Magnetization (μB/atom): 0.722

abc: 5.855 5.855 5.855
angles: 90.00 90.00 90.00
Space group F-43m (No. 216)
Asymmetric unit:
Be 0.000 0.000 0.000 (multiplicity 4)
Cr 0.250 0.250 0.750 (multiplicity 4)
Ge 0.000 0.000 0.500 (multiplicity 4)
Rh 0.250 0.250 0.250 (multiplicity 4)

---

Here is a relaxed LiYAu crystal from Alexandria. Energies are from PBE.

Output
Relative energy among the computed polymorphs (meV per atom): 6
ΔH_f (0 K) (eV per atom): -0.591
Total DFT energy (no corrections) (eV/atom): -4.48
Magnetization (μB/atom): 0.000

abc: 4.103 4.103 15.874
angles: 90.00 90.00 90.00
Space group I4/mmm (No. 139)
Asymmetric unit:
Li 0.000 0.500 0.000 (multiplicity 4)
Y 0.000 0.000 0.176 (multiplicity 4)
Au 0.000 0.000 0.371 (multiplicity 4)

---

Here is a relaxed HoThSc2Se4 crystal from Alexandria. Energies are from PBE.

Output
Raw formation energy (eV/atom): -1.59
Total DFT energy (no corrections) (eV/atom): -6.41
Magnetization (μB/atom): 0.000

abc: 6.914 3.956 7.037
angles: 90.00 108.87 90.00
Space group P2/m (No. 10)
Asymmetric unit:
Ho 0.000 0.000 0.000 (multiplicity 1)
Th 0.500 0.500 0.000 (multiplicity 1)
Sc 0.000 0.500 0.500 (multiplicity 1)
Sc 0.500 0.000 0.500 (multiplicity 1)
Se 0.234 0.000 0.725 (multiplicity 2)
Se 0.250 0.500 0.269 (multiplicity 2)